DFT (PBE+U) results for a relaxed structure of VRe2F.

a = 6.026 Å, b = 6.026 Å, c = 6.026 Å
α = 90.00°, β = 90.00°, γ = 90.00°
Space group Fm-3m (No. 225)
Unique sites:
V: 0.000 0.000 0.000
Re: 0.250 0.250 0.250
F: 0.000 0.000 0.500

Summary:
- ΔE to the lowest computed polymorph (meV per atom) = 0
- magnetization (μB per atom) = 0.00
- volume (Å³ per atom) = 13.67